Record 1
# PBE WCSe2, optimized geometry
# **Uncorrected energy**: -23.17 eV per formula unit
data_WCSe2
_space_group_name_H-M_alt 'P 1'
_space_group_IT_number 1
_space_group_name_Hall 'P 1'
_cell_length_a 7.804
_cell_length_b 7.804
_cell_length_c 7.804
_cell_angle_alpha 23.00
_cell_angle_beta 23.00
_cell_angle_gamma 23.00
loop_
_atom_site_label
_atom_site_type_symbol
_atom_site_fract_x
_atom_site_fract_y
_atom_site_fract_z
Se1 Se 0.607 0.607 0.607
Se2 Se 0.393 0.393 0.393
W1 W 0.500 0.500 0.500
C1 C 0.000 0.000 0.000


Record 2
# PBE YCSe3, optimized geometry
# **Energy above the lowest structure with this stoichiometry**: 0 meV per atom
# **Uncorrected energy**: -25.66 eV per formula unit
data_YCSe3
_space_group_name_H-M_alt 'P 1'
_space_group_IT_number 1
_space_group_name_Hall 'P 1'
_cell_length_a 4.532
_cell_length_b 4.532
_cell_length_c 4.532
_cell_angle_alpha 90.00
_cell_angle_beta 90.00
_cell_angle_gamma 90.00
loop_
_atom_site_label
_atom_site_type_symbol
_atom_site_fract_x
_atom_site_fract_y
_atom_site_fract_z
Y1 Y 0.500 0.500 0.500
Se1 Se 0.000 0.500 0.000
Se2 Se 0.500 0.000 0.000
Se3 Se 0.000 0.000 0.500
C1 C 0.000 0.000 0.000